Computed, not measured: CsTl4Pb after structural relaxation at the PBE level of DFT.

```
CsTl4Pb
1.0
0.000 4.762 4.762
4.762 0.000 4.762
4.762 4.762 0.000
Cs Tl Pb
1 4 1
direct
0.000 0.000 0.000
0.376 0.376 0.376
0.376 0.376 0.871
0.376 0.871 0.376
0.871 0.376 0.376
0.750 0.750 0.750
```

Space-group type: F-43m
DFT formation energy: 3 meV per atom
Energy above the most stable polymorph in this dataset: 0.075 eV/atom

---

Computed, not measured: FeSi2Au after structural relaxation at the PBE level of DFT.

```
FeSi2Au
1.0
3.840 -1.477 0.000
3.840 1.477 0.000
-0.873 0.000 4.907
Fe Si Au
1 2 1
direct
0.000 0.000 0.000
0.265 0.265 0.805
0.735 0.735 0.195
0.500 0.500 0.500
```

Space-group type: C2/m
Energy relative to the elements, uncorrected: 17 meV per atom
Energy above the most stable polymorph in this dataset: 0.097 eV/atom

---

Computed, not measured: Pt3BrN after structural relaxation at the PBE level of DFT.

```
Pt3BrN
1.0
4.776 0.000 0.000
0.000 4.776 0.000
0.000 0.000 4.776
Pt Br N
3 1 1
direct
0.000 0.000 0.500
0.000 0.500 0.000
0.500 0.000 0.000
0.000 0.000 0.000
0.500 0.500 0.500
```

Space-group type: Pm-3m
Energy relative to the elements, uncorrected: 2248 meV per atom
Energy above the most stable polymorph in this dataset: 1.326 eV/atom

---

Computed, not measured: TaHgO3 after structural relaxation at the PBE level of DFT.

```
TaHgO3
1.0
4.140 0.000 0.000
0.000 4.140 0.000
0.000 0.000 4.140
Ta Hg O
1 1 3
direct
0.000 0.000 0.000
0.500 0.500 0.500
0.000 0.500 0.500
0.500 0.000 0.500
0.500 0.500 0.000
```

Space-group type: Pm-3m
Energy relative to the elements, uncorrected: 718 meV per atom

---

Computed, not measured: AcZn9Pd2 after structural relaxation at the PBE level of DFT.

```
AcZn9Pd2
1.0
-5.394 5.394 3.503
5.394 -5.394 3.503
5.394 5.394 -3.503
Ac Zn Pd
2 18 4
direct
0.375 0.625 0.750
0.625 0.375 0.250
0.125 0.875 0.250
0.140 0.560 0.334
0.140 0.806 0.580
0.194 0.274 0.334
0.194 0.860 0.920
0.274 0.194 0.834
0.274 0.440 0.080
0.440 0.274 0.580
0.440 0.860 0.166
0.560 0.140 0.834
0.560 0.726 0.420
0.726 0.560 0.920
0.726 0.806 0.166
0.806 0.140 0.080
0.806 0.726 0.666
0.860 0.194 0.420
0.860 0.440 0.666
0.875 0.125 0.750
0.000 0.000 0.000
0.000 0.000 0.500
0.000 0.500 0.000
0.500 0.000 0.500
```

Space-group type: I4_1/amd
DFT formation energy: -381 meV per atom
Energy above the most stable polymorph in this dataset: 0.000 eV/atom

---

Computed, not measured: Hg2WAu after structural relaxation at the PBE level of DFT.

```
Hg2WAu
1.0
2.884 0.000 0.000
0.000 4.298 0.000
0.000 0.000 6.223
Hg W Au
2 1 1
direct
0.000 0.000 0.000
0.500 0.500 0.272
0.000 0.000 0.524
0.500 0.500 0.731
```

Space-group type: Pmm2
DFT formation energy: 667 meV per atom
Energy above the most stable polymorph in this dataset: 0.182 eV/atom

---

Computed, not measured: Fe2SnH after structural relaxation at the PBE level of DFT.

```
Fe2SnH
1.0
-2.496 2.496 4.140
2.496 -2.496 4.140
2.496 2.496 -4.140
Fe Sn H
4 2 2
direct
0.000 0.000 0.000
0.000 0.000 0.500
0.000 0.500 0.000
0.500 0.000 0.500
0.375 0.625 0.750
0.625 0.375 0.250
0.125 0.875 0.250
0.875 0.125 0.750
```

Space-group type: I4_1/amd
Energy above the most stable polymorph in this dataset: 0.000 eV/atom

---

Computed, not measured: BeBiP2O after structural relaxation at the PBE level of DFT.

```
BeBiP2O
1.0
5.287 0.000 0.000
0.000 5.287 0.000
0.000 0.000 4.102
Be Bi P O
1 1 2 1
direct
0.000 0.000 0.000
0.500 0.500 0.500
0.000 0.500 0.500
0.500 0.000 0.500
0.500 0.500 0.000
```

Space-group type: P4/mmm
Energy relative to the elements, uncorrected: 1165 meV per atom
Energy above the most stable polymorph in this dataset: 1.244 eV/atom

---

Computed, not measured: Li2TbPd7 after structural relaxation at the PBE level of DFT.

```
Li2TbPd7
1.0
3.645 -5.534 0.000
3.645 5.534 0.000
0.000 0.000 4.392
Li Tb Pd
2 1 7
direct
0.204 0.796 0.000
0.796 0.204 0.000
0.500 0.500 0.500
0.000 0.000 0.000
0.186 0.437 0.000
0.214 0.786 0.500
0.437 0.186 0.000
0.563 0.814 0.000
0.786 0.214 0.500
0.814 0.563 0.000
```

Space-group type: Cmmm
DFT formation energy: -32 meV per atom

---

Computed, not measured: Ba2Tl7Au after structural relaxation at the PBE level of DFT.

```
Ba2Tl7Au
1.0
5.237 0.000 0.000
0.000 5.237 0.000
0.000 0.000 12.295
Ba Tl Au
2 7 1
direct
0.000 0.500 0.232
0.500 0.000 0.768
0.000 0.000 0.000
0.000 0.000 0.500
0.000 0.500 0.641
0.000 0.500 0.882
0.500 0.000 0.118
0.500 0.000 0.359
0.500 0.500 0.500
0.500 0.500 0.000
```

Space-group type: P-4m2
DFT formation energy: -242 meV per atom
Energy above the most stable polymorph in this dataset: 0.050 eV/atom

---

Computed, not measured: ScTlSi2Mo after structural relaxation at the PBE level of DFT.

```
ScTlSi2Mo
1.0
5.066 0.000 0.000
0.000 5.066 0.000
0.000 0.000 5.311
Sc Tl Si Mo
1 1 2 1
direct
0.000 0.000 0.000
0.000 0.000 0.500
0.000 0.500 0.500
0.500 0.000 0.500
0.500 0.500 0.000
```

Space-group type: P4/mmm
Energy relative to the elements, uncorrected: 1760 meV per atom

---

Computed, not measured: BaTl2Hg after structural relaxation at the PBE level of DFT.

```
BaTl2Hg
1.0
4.732 0.000 0.000
0.000 5.230 0.000
0.000 0.000 5.430
Ba Tl Hg
1 2 1
direct
0.000 0.000 0.000
0.000 0.500 0.500
0.500 0.000 0.500
0.500 0.500 0.000
```

Space-group type: Pmmm
DFT formation energy: -267 meV per atom
Energy above the most stable polymorph in this dataset: 0.066 eV/atom

---

Computed, not measured: Cs2Tl12In3Hg after structural relaxation at the PBE level of DFT.

```
Cs2Tl12In3Hg
1.0
4.062 2.345 11.760
-4.062 2.345 11.760
0.000 -4.691 11.760
Cs Tl In Hg
2 12 3 1
direct
0.150 0.150 0.150
0.850 0.850 0.850
0.086 0.086 0.682
0.086 0.682 0.086
0.147 0.567 0.567
0.318 0.914 0.914
0.433 0.433 0.853
0.433 0.853 0.433
0.567 0.147 0.567
0.567 0.567 0.147
0.682 0.086 0.086
0.853 0.433 0.433
0.914 0.318 0.914
0.914 0.914 0.318
0.000 0.500 0.500
0.500 0.000 0.500
0.500 0.500 0.000
0.500 0.500 0.500
```

Space-group type: R-3m
DFT formation energy: 42 meV per atom

---

Computed, not measured: RbMgAu2 after structural relaxation at the PBE level of DFT.

```
RbMgAu2
1.0
-2.732 2.732 9.203
2.732 -2.732 9.203
2.732 2.732 -9.203
Rb Mg Au
2 2 4
direct
0.375 0.625 0.750
0.625 0.375 0.250
0.125 0.875 0.250
0.875 0.125 0.750
0.000 0.000 0.000
0.000 0.000 0.500
0.000 0.500 0.000
0.500 0.000 0.500
```

Space-group type: I4_1/amd
DFT formation energy: -239 meV per atom

---

Computed, not measured: Tl2AgSnSb2 after structural relaxation at the PBE level of DFT.

```
Tl2AgSnSb2
1.0
-3.129 8.538 3.338
3.129 -8.538 3.338
3.129 8.538 -3.338
Tl Ag Sn Sb
4 2 2 4
direct
0.184 0.235 0.419
0.316 0.735 0.051
0.684 0.265 0.949
0.816 0.765 0.581
0.250 0.750 0.500
0.750 0.250 0.500
0.250 0.250 0.000
0.750 0.750 0.000
0.115 0.733 0.848
0.385 0.233 0.617
0.615 0.767 0.383
0.885 0.267 0.152
```

Space-group type: Ibam
Energy relative to the elements, uncorrected: 25 meV per atom

---

Computed, not measured: Dy2TmAl2Ga2 after structural relaxation at the PBE level of DFT.

```
Dy2TmAl2Ga2
1.0
2.132 1.231 10.495
-2.132 1.231 10.495
0.000 -2.461 10.495
Dy Tm Al Ga
2 1 2 2
direct
0.125 0.125 0.125
0.875 0.875 0.875
0.000 0.000 0.000
0.392 0.392 0.392
0.608 0.608 0.608
0.263 0.263 0.263
0.737 0.737 0.737
```

Space-group type: R-3m
DFT formation energy: -367 meV per atom

---

Computed, not measured: Tb4Al3 after structural relaxation at the PBE level of DFT.

```
Tb4Al3
1.0
2.536 1.464 8.266
-2.536 1.464 8.266
0.000 -2.929 8.266
Tb Al
4 3
direct
0.120 0.120 0.120
0.372 0.372 0.372
0.628 0.628 0.628
0.880 0.880 0.880
0.248 0.248 0.248
0.500 0.500 0.500
0.752 0.752 0.752
```

Space-group type: R-3m
DFT formation energy: -248 meV per atom

---

Computed, not measured: Na2HoBr5 after structural relaxation at the PBE level of DFT.

```
Na2HoBr5
1.0
12.806 0.000 0.000
0.000 8.708 0.000
0.000 0.000 8.288
Na Ho Br
8 4 20
direct
0.176 0.007 0.026
0.176 0.493 0.026
0.324 0.507 0.526
0.324 0.993 0.526
0.676 0.007 0.474
0.676 0.493 0.474
0.824 0.507 0.974
0.824 0.993 0.974
0.008 0.750 0.582
0.492 0.250 0.082
0.508 0.750 0.918
0.992 0.250 0.418
0.015 0.750 0.936
0.084 0.046 0.662
0.084 0.454 0.662
0.182 0.750 0.368
0.204 0.250 0.318
0.296 0.750 0.818
0.318 0.250 0.868
0.416 0.546 0.162
0.416 0.954 0.162
0.485 0.250 0.436
0.515 0.750 0.564
0.584 0.046 0.838
0.584 0.454 0.838
0.682 0.750 0.132
0.704 0.250 0.182
0.796 0.750 0.682
0.818 0.250 0.632
0.916 0.546 0.338
0.916 0.954 0.338
0.985 0.250 0.064
```

Space-group type: Pnma
Energy relative to the elements, uncorrected: -1677 meV per atom
Energy above the most stable polymorph in this dataset: 0.010 eV/atom

---

Computed, not measured: DyHgPd after structural relaxation at the PBE level of DFT.

```
DyHgPd
1.0
4.723 0.000 0.000
-2.362 4.090 0.000
0.000 0.000 3.444
Dy Hg Pd
1 1 1
direct
0.000 0.000 0.000
0.333 0.667 0.500
0.667 0.333 0.501
```

Space-group type: P3m1
DFT formation energy: -597 meV per atom

---

Computed, not measured: AgAu3S after structural relaxation at the PBE level of DFT.

```
AgAu3S
1.0
4.819 0.000 0.000
0.000 4.819 0.000
0.000 0.000 4.819
Ag Au S
1 3 1
direct
0.000 0.000 0.000
0.000 0.500 0.500
0.500 0.000 0.500
0.500 0.500 0.000
0.500 0.500 0.500
```

Space-group type: Pm-3m
Energy relative to the elements, uncorrected: 530 meV per atom
Energy above the most stable polymorph in this dataset: 0.000 eV/atom

---

Computed, not measured: SrMnVCu2 after structural relaxation at the PBE level of DFT.

```
SrMnVCu2
1.0
5.061 0.000 0.000
0.000 5.061 0.000
0.000 0.000 5.425
Sr Mn V Cu
1 1 1 2
direct
0.000 0.000 0.000
0.500 0.500 0.500
0.000 0.000 0.500
0.000 0.500 0.000
0.500 0.000 0.000
```

Space-group type: P4/mmm
DFT formation energy: 1913 meV per atom

---

Computed, not measured: TcBr2 after structural relaxation at the PBE level of DFT.

```
TcBr2
1.0
5.153 0.000 0.000
-2.577 4.463 0.000
0.000 0.000 3.313
Tc Br
1 2
direct
0.000 0.000 0.000
0.333 0.667 0.500
0.667 0.333 0.500
```

Space-group type: P6/mmm
Energy relative to the elements, uncorrected: 1212 meV per atom
Energy above the most stable polymorph in this dataset: 1.518 eV/atom

---

Computed, not measured: Zr2AlNi9 after structural relaxation at the PBE level of DFT.

```
Zr2AlNi9
1.0
3.713 0.000 0.000
0.000 3.713 0.000
0.000 0.000 10.967
Zr Al Ni
2 1 9
direct
0.000 0.000 0.175
0.000 0.000 0.825
0.000 0.000 0.500
0.000 0.500 0.000
0.000 0.500 0.346
0.000 0.500 0.654
0.500 0.000 0.000
0.500 0.000 0.346
0.500 0.000 0.654
0.500 0.500 0.172
0.500 0.500 0.500
0.500 0.500 0.828
```

Space-group type: P4/mmm
DFT formation energy: -439 meV per atom

---

no.,E_tot (eV/atom)
1,-2.335
2,-5.630
3,-3.376
4,-4.688
5,-2.544
6,-3.541
7,-5.887
8,-3.512
9,-4.513
10,-2.611
11,-4.315
12,-2.006
13,-2.103
14,-2.518
15,-3.280
16,-4.255
17,-4.498
18,-3.624
19,-3.963
20,-2.832
21,-3.719
22,-3.359
23,-6.512